# CrIN2O | Alexandria | PBE+U | relaxed
data_CrIN2O
_space_group_name_H-M_alt 'P 4/m m m'
_space_group_IT_number 123
_space_group_name_Hall '-P 4 2'
_cell_length_a 3.572
_cell_length_b 3.572
_cell_length_c 5.704
_cell_angle_alpha 90.00
_cell_angle_beta 90.00
_cell_angle_gamma 90.00
loop_
_atom_site_label
_atom_site_type_symbol
_atom_site_fract_x
_atom_site_fract_y
_atom_site_fract_z
_atom_site_occupancy
Cr1 Cr 0.000 0.000 0.000 1
I1 I 0.000 0.000 0.500 1
N1 N 0.000 0.500 0.000 1
O1 O 0.500 0.500 0.500 1
# Calculated total energy (Ry/atom): -0.366
# Calculated density (Mg/m³): 5.087